Record 1
{"formula": "Tb2Pm3YSe6", "functional": "GGA-PBE", "state": "relaxed", "lattice_angstrom": [[-0.238, -3.763, -1.661], [-3.500, -2.875, 7.014], [-6.915, 4.548, -4.202]], "species": ["Tb", "Tb", "Pm", "Pm", "Pm", "Y", "Se", "Se", "Se", "Se", "Se", "Se"], "frac_coords": [[0.833, 0.666, 0.666], [0.167, 0.334, 0.334], [0.500, 0.500, 0.000], [0.833, 0.167, 0.666], [0.167, 0.833, 0.334], [0.500, 0.000, 0.000], [0.336, 0.912, 0.671], [0.669, 0.578, 0.337], [0.664, 0.088, 0.329], [0.002, 0.244, 0.004], [0.998, 0.756, 0.996], [0.331, 0.422, 0.663]], "formation_energy_uncorrected_ev_per_atom": -1.805, "rho_g_cm3": 7.2}

***

Record 2
{"formula": "Na3Sr5", "functional": "GGA-PBE", "state": "relaxed", "lattice_angstrom": [[4.486, 0.000, 0.000], [0.000, 4.486, 0.000], [0.000, 0.000, 19.134]], "species": ["Na", "Na", "Na", "Sr", "Sr", "Sr", "Sr", "Sr"], "frac_coords": [[0.500, 0.500, 0.119], [0.500, 0.500, 0.881], [0.000, 0.000, 0.500], [0.000, 0.000, 0.236], [0.500, 0.500, 0.617], [0.500, 0.500, 0.383], [0.000, 0.000, 0.764], [0.000, 0.000, 0.000]], "rho_g_cm3": 2.2, "delta_e_f_kj_per_mol_fu": 8}